Material: B5C7
Method: DFT, GGA-PBE
State: optimized geometry

Output
- mass density (g cm⁻³) = 2.92
- energy relative to the lowest polymorph listed for this composition (meV/atom) = 81
- symmetry = Cm, No. 8

Unit cell a=6.3697 b=6.3697 c=5.1932 alpha=101.84 beta=101.84 gamma=22.42
Closest atoms and distances in Å follow each position.
Element x y z (fractional)
B  0.0000  0.0000  0.0000  2 C 1.60-1.65
B  0.0012  0.0012  0.4899  2 C 1.61-1.64
B  0.3904  0.3904  0.9433  2 C 1.66-1.67, 2 B 1.82
B  0.3943  0.3943  0.4402  2 C 1.66-1.67, 2 B 1.80
B  0.6580  0.6580  0.8214  4 C 1.61-1.68
C  0.0744  0.0744  0.7835  4 B 1.60-1.61
C  0.0861  0.0861  0.2873  2 C 1.51, 2 B 1.64-1.65
C  0.3056  0.3056  0.1498  2 C 1.49, 1 B 1.66
C  0.3081  0.3081  0.6451  2 C 1.50, 2 B 1.66-1.67
C  0.6568  0.6568  0.3236  4 C 1.51-1.60
C  0.7380  0.7380  0.1254  3 C 1.49-1.59
C  0.7391  0.7391  0.6043  3 C 1.50-1.60, 1 B 1.67

Material: CaSiAs2
Method: DFT, GGA-PBE
State: optimized geometry

Output
- mass density (g cm⁻³) = 4.20
- formation energy from raw total energies (eV/atom) = -0.352
- symmetry = R-3m, No. 166

Unit cell a=7.2613 b=7.2613 c=7.2613 alpha=30.25 beta=30.25 gamma=30.25
Closest atoms and distances in Å follow each position.
Element x y z (fractional)
Ca  0.0000  0.0000  0.0000  6 As 3.02
Si  0.5000  0.5000  0.5000  6 As 2.58
As  0.2328  0.2328  0.2328  3 Si 2.58
As  0.7672  0.7672  0.7672  3 Si 2.58

Material: LaSb2N
Method: DFT, GGA-PBE
State: optimized geometry

Output
- mass density (g cm⁻³) = 6.66
- formation energy from raw total energies (eV/atom) = 0.021
- symmetry = I-42d, No. 122

Unit cell a=6.3564 b=6.3564 c=6.3564 alpha=109.74 beta=109.74 gamma=108.93
Closest atoms and distances in Å follow each position.
Element x y z (fractional)
La  0.0000  0.0000  0.0000  8 Sb 3.33-3.48, 2 N 3.69
La  0.7500  0.2500  0.5000  8 Sb 3.33-3.48, 2 N 3.69
Sb  0.2344  0.6250  0.1094  2 N 2.29
Sb  0.3750  0.4844  0.6094  2 N 2.29
Sb  0.5156  0.1250  0.8906  2 N 2.29
Sb  0.8750  0.7656  0.3906  2 N 2.29
N  0.2500  0.7500  0.5000  4 Sb 2.29
N  0.5000  0.5000  0.0000  4 Sb 2.29

- The highest mass density belongs to which entry?
  LaSb2N